Entry 1:
DFT (PBE-GGA) results for an optimized crystal structure of TbCdSnTe3.

As for the total magnetic moment: 0.01 μB/f.u. The value obtained for the theoretical density is 7.0 Mg/m³. The calculation puts the total energy at -0.278 Ry/atom.

The space group is Cmcm (No. 63) and the conventional cell measures 4.405, 14.730 and 11.227 Å, with angles of 90.00, 90.00 and 90.00 degrees. The distinct sites, in fractional coordinates, are Tb at (0.000, 0.000, 0.000), Cd at (0.000, 0.477, 0.250), Sn at (0.000, 0.206, 0.750), Te at (0.000, 0.104, 0.250) and Te at (0.000, 0.353, 0.048).

Entry 2:
DFT (PBE-GGA) results for an optimized crystal structure of NbCuTe.

As for the total magnetic moment: 0.02 μB/f.u. The value obtained for the theoretical density is 7.5 Mg/m³. For the distance to the lowest polymorph of the same formula, the calculation gives 131 meV/atom. The calculation puts the total energy at -0.378 Ry/atom.

The space group is F-43m (No. 216) and the conventional cell measures 6.318, 6.318 and 6.318 Å, with angles of 90.00, 90.00 and 90.00 degrees. The distinct sites, in fractional coordinates, are Nb at (0.000, 0.000, 0.000), Cu at (0.000, 0.000, 0.500) and Te at (0.250, 0.250, 0.750).

Entry 3:
DFT (PBE-GGA) results for an optimized crystal structure of DyAgB4.

As for the total magnetic moment: 0.00 μB/f.u. The value obtained for the theoretical density is 7.9 Mg/m³. For the distance to the lowest polymorph of the same formula, the calculation gives 70 meV/atom. The calculation puts the total energy at -0.418 Ry/atom.

The space group is P6/mmm (No. 191) and the conventional cell measures 3.2218, 3.2218 and 7.3182 Å, with angles of 90.00, 90.00 and 120.00 degrees. The distinct sites, in fractional coordinates, are Dy at (0.0000, 0.0000, 0.0000), Ag at (0.0000, 0.0000, 0.5000) and B at (0.3333, 0.6667, 0.2528).

Entry 4:
DFT (PBE-GGA) results for an optimized crystal structure of SrNdGa.

As for the total magnetic moment: 0.00 μB/f.u. The value obtained for the theoretical density is 4.8 Mg/m³. The calculation puts the total energy at -0.243 Ry/atom.

The space group is F-43m (No. 216) and the conventional cell measures 7.473, 7.473 and 7.473 Å, with angles of 90.00, 90.00 and 90.00 degrees. The distinct sites, in fractional coordinates, are Sr at (0.000, 0.000, 0.000), Nd at (0.000, 0.000, 0.500) and Ga at (0.250, 0.250, 0.750).

Entry 5:
DFT (PBE-GGA) results for an optimized crystal structure of AuI2.

The value obtained for the theoretical density is 7.8 Mg/m³. The calculation puts the total energy at -0.149 Ry/atom.

The space group is P6_3mc (No. 186) and the conventional cell measures 4.2841, 4.2841 and 24.1559 Å, with angles of 90.00, 90.00 and 120.00 degrees. The distinct sites, in fractional coordinates, are Au at (0.3333, 0.6667, 0.0000), Au at (0.3333, 0.6667, 0.2484), I at (0.0000, 0.0000, 0.0675), I at (0.0000, 0.0000, 0.3167), I at (0.3333, 0.6667, 0.4343) and I at (0.3333, 0.6667, 0.6824).

Entry 6:
DFT (PBE-GGA) results for an optimized crystal structure of AcYAg.

As for the total magnetic moment: 0.06 μB/f.u. The value obtained for the theoretical density is 6.8 Mg/m³. For the distance to the lowest polymorph of the same formula, the calculation gives 0 meV/atom. The calculation puts the total energy at -0.323 Ry/atom. The calculation puts the energy of formation at 73 meV/atom.

The space group is F-43m (No. 216) and the conventional cell measures 7.444, 7.444 and 7.444 Å, with angles of 90.00, 90.00 and 90.00 degrees. The distinct sites, in fractional coordinates, are Ac at (0.000, 0.000, 0.000), Y at (0.000, 0.000, 0.500) and Ag at (0.250, 0.250, 0.250).

Entry 7:
DFT (PBE-GGA) results for an optimized crystal structure of LiCuHgSb.

The value obtained for the theoretical density is 8.8 Mg/m³. For the distance to the lowest polymorph of the same formula, the calculation gives 0 meV/atom. The calculation puts the total energy at -0.191 Ry/atom.

The space group is F-43m (No. 216) and the conventional cell measures 6.677, 6.677 and 6.677 Å, with angles of 90.00, 90.00 and 90.00 degrees. The distinct sites, in fractional coordinates, are Li at (0.000, 0.000, 0.000), Cu at (0.000, 0.000, 0.500), Hg at (0.250, 0.250, 0.750) and Sb at (0.250, 0.250, 0.250).

Entry 8:
DFT (PBE-GGA) results for an optimized crystal structure of Y2ErCd3Au3.

As for the total magnetic moment: 0.01 μB/f.u. The value obtained for the theoretical density is 10.3 Mg/m³. The calculation puts the total energy at -0.294 Ry/atom. The calculation puts the energy of formation at -670 meV/atom.

The space group is Amm2 (No. 38) and the conventional cell measures 3.909, 13.457 and 7.803 Å, with angles of 90.00, 90.00 and 90.00 degrees. The distinct sites, in fractional coordinates, are Y at (0.000, 0.202, 0.000), Er at (0.000, 0.000, 0.605), Cd at (0.500, 0.000, 0.940), Cd at (0.500, 0.131, 0.333), Au at (0.000, 0.000, 0.203) and Au at (0.500, 0.165, 0.701).

Entry 9:
DFT (PBE-GGA) results for an optimized crystal structure of CsTbHo.

As for the total magnetic moment: 0.00 μB/f.u. The value obtained for the theoretical density is 6.4 Mg/m³. The calculation puts the total energy at -0.153 Ry/atom.

The space group is F-43m (No. 216) and the conventional cell measures 7.801, 7.801 and 7.801 Å, with angles of 90.00, 90.00 and 90.00 degrees. The distinct sites, in fractional coordinates, are Cs at (0.000, 0.000, 0.000), Tb at (0.250, 0.250, 0.250) and Ho at (0.250, 0.250, 0.750).

Entry 10:
DFT (PBE-GGA) results for an optimized crystal structure of TcO2.

As for the total magnetic moment: 0.01 μB/f.u. The value obtained for the theoretical density is 6.7 Mg/m³. For the distance to the lowest polymorph of the same formula, the calculation gives 51 meV/atom. The calculation puts the total energy at -0.597 Ry/atom.

The space group is P4_2/mnm (No. 136) and the conventional cell measures 4.793, 4.793 and 2.797 Å, with angles of 90.00, 90.00 and 90.00 degrees. The distinct sites, in fractional coordinates, are Tc at (0.000, 0.000, 0.000) and O at (0.214, 0.214, 0.500).